DFT (GGA-PBE) results for crystalline AlCrCuRe at its relaxed geometry.

```
4
Lattice="0.0000 2.9845 2.9845 2.9845 0.0000 2.9845 2.9845 2.9845 0.0000" Properties=species:S:1:pos:R:3 pbc="T T T"
Al 0.0000 0.0000 0.0000
Cr 2.9845 2.9845 2.9845
Cu 4.4768 4.4768 4.4768
Re 1.4923 1.4923 1.4923
```

Values from the calculation:
Crystal system   cubic
Formation enthalpy at 0 K   -0.0073 eV/atom
Calculated total energy   -7.485 eV/atom